Entry 1:
PBE Li8HAu2, optimized geometry; VASP energy = -28.6 eV per cell
1.0
7.0802 -2.2911 0.0000
7.0802 2.2911 0.0000
-2.0590 0.0000 5.0086
Li H Au
8 1 2
direct
0.0001 0.0001 0.2413
0.9999 0.9999 0.7587
0.2102 0.2102 0.7091
0.3850 0.3850 0.1422
0.3848 0.3848 0.6277
0.6152 0.6152 0.3723
0.6150 0.6150 0.8578
0.7898 0.7898 0.2909
0.5000 0.5000 0.5000
0.1794 0.1794 0.1782
0.8206 0.8206 0.8218

Entry 2:
PBE RbP2S2, optimized geometry; VASP energy = -10.2 eV per cell; E above lowest polymorph = 9.05 eV/f.u.
1.0
7.1395 0.0000 0.0000
0.0000 7.1395 0.0000
0.0000 0.0000 6.4696
Rb P S
1 2 2
direct
0.0000 0.0000 0.0000
0.0000 0.5000 0.0000
0.5000 0.0000 0.0000
0.0000 0.0000 0.5000
0.5000 0.5000 0.5000

Entry 3:
PBE Pm2Mg3Sn4, optimized geometry; VASP energy = -68.8 eV per cell; ΔH_f (0 K) = -398 kJ/mol of formula units
1.0
3.2295 -8.3278 0.0000
3.2295 8.3278 0.0000
0.0000 0.0000 8.6071
Pm Mg Sn
4 6 8
direct
0.1138 0.8862 0.9159
0.3862 0.6138 0.4159
0.6138 0.3862 0.5841
0.8862 0.1138 0.0841
0.0000 0.0000 0.5000
0.0347 0.4653 0.7500
0.4653 0.0347 0.2500
0.5000 0.5000 0.0000
0.5347 0.9653 0.7500
0.9653 0.5347 0.2500
0.1840 0.8160 0.5488
0.2055 0.2945 0.7500
0.2945 0.2055 0.2500
0.3160 0.6840 0.0488
0.6840 0.3160 0.9512
0.7055 0.7945 0.7500
0.7945 0.7055 0.2500
0.8160 0.1840 0.4512